Entry from the Alexandria database: a relaxed structure of InHg2H (PBE).

a = 4.9476 Å, b = 6.1072 Å, c = 6.4721 Å
α = 70.57°, β = 77.10°, γ = 84.14°
With the nearest neighbours (Å) after each atom.
Fractional coordinates of all 8 atoms:
In1 0.1090 0.7514 0.3335  2 H 2.04-2.06
In2 0.8910 0.2486 0.6665  2 H 2.04-2.06
Hg1 0.2599 0.2462 0.9784  3 In 3.00-3.32, 3 Hg 3.03-3.29, 1 H 3.28
Hg2 0.7401 0.7538 0.0216  3 In 3.00-3.32, 3 Hg 3.03-3.29, 1 H 3.28
Hg3 0.6374 0.2183 0.2967  1 H 2.37
Hg4 0.3626 0.7817 0.7033  1 H 2.37
H1 0.7800 0.5938 0.5798  2 In 2.04-2.06
H2 0.2200 0.4062 0.4202  2 In 2.04-2.06

Computed properties:
Distance to the lowest polymorph of the same formula = 0.012 eV/atom
N(E_F) = 1.1 states/eV/cell
Total magnetic moment = 0.0 μB/cell
Total energy = -1.5115 eV/atom